An optimized crystal structure of VSiIr. Source: Alexandria, functional PBE.

```
3
Lattice="2.638 0.000 0.000 -1.319 6.248 -2.334 0.000 1.394 2.240" Properties=species:S:1:pos:R:3 pbc="T T T"
V 0.000 3.949 0.650
Ir 0.000 1.984 1.873
Si 1.319 4.768 -1.413
```

- total energy (eV/atom) = -7.568
- raw formation energy (meV per atom) = 233
- space group = I4mm, No. 107